VASP calculation (GGA+U) on a relaxed CrSnO2 crystal.

Calculated values
**Total magnetization**: 0.877 μB per atom
**Relative energy among the computed polymorphs**: 193 meV per atom
**Density of states at the Fermi level**: 1.50 states/eV per cell

The structure in CIF format:
```
data_CrSnO2
_chemical_formula_sum 'Cr2 Sn2 O4'
_cell_length_a 3.057
_cell_length_b 5.930
_cell_length_c 6.893
_cell_angle_alpha 76.28
_cell_angle_beta 84.87
_cell_angle_gamma 77.30
_space_group_name_H-M_alt 'P 1'
_space_group_IT_number 1
loop_
_space_group_symop_operation_xyz
'x,y,z'
loop_
_atom_site_label
_atom_site_type_symbol
_atom_site_fract_x
_atom_site_fract_y
_atom_site_fract_z
Cr1 Cr 0.000 0.000 0.000
Cr2 Cr 0.496 0.342 0.675
Sn1 Sn 0.092 0.455 0.153
Sn2 Sn 0.382 0.900 0.507
O1 O 0.068 0.279 0.493
O2 O 0.421 0.071 0.182
O3 O 0.549 0.995 0.802
O4 O 0.941 0.405 0.846
```